No. 1
# RbGdSbSe3 PBE relaxed
# - volume (Å³ per cell) = 785.7
# - total DFT energy (no corrections) (hartree per atom) = -0.1584
data_RbGdSbSe3
_space_group_name_H-M_alt 'C m c m'
_space_group_IT_number 63
_space_group_name_Hall '-C 2c 2'
_cell_length_a 4.254
_cell_length_b 16.453
_cell_length_c 11.228
_cell_angle_alpha 90.00
_cell_angle_beta 90.00
_cell_angle_gamma 90.00
loop_
_atom_site_label
_atom_site_type_symbol
_atom_site_fract_x
_atom_site_fract_y
_atom_site_fract_z
_atom_site_occupancy
Rb1 Rb 0.000 0.248 0.250 1
Gd1 Gd 0.000 0.000 0.000 1
Sb1 Sb 0.000 0.456 0.750 1
Se1 Se 0.000 0.085 0.750 1
Se2 Se 0.000 0.378 0.531 1

No. 2
# RbGdSbTe3 PBE relaxed
# - volume (Å³ per cell) = 914.2
# - total DFT energy (no corrections) (hartree per atom) = -0.1441
data_RbGdSbTe3
_space_group_name_H-M_alt 'C m c m'
_space_group_IT_number 63
_space_group_name_Hall '-C 2c 2'
_cell_length_a 4.495
_cell_length_b 17.615
_cell_length_c 11.545
_cell_angle_alpha 90.00
_cell_angle_beta 90.00
_cell_angle_gamma 90.00
loop_
_atom_site_label
_atom_site_type_symbol
_atom_site_fract_x
_atom_site_fract_y
_atom_site_fract_z
_atom_site_occupancy
Rb1 Rb 0.000 0.237 0.250 1
Gd1 Gd 0.000 0.000 0.000 1
Sb1 Sb 0.000 0.462 0.750 1
Te1 Te 0.000 0.092 0.750 1
Te2 Te 0.000 0.375 0.531 1

No. 3
# RbGdSc PBE relaxed
# - volume (Å³ per cell) = 560.7
# - total DFT energy (no corrections) (hartree per atom) = -0.1005
# - energy above the lowest structure with this stoichiometry (meV/atom) = 0
data_RbGdSc
_space_group_name_H-M_alt 'F -4 3 m'
_space_group_IT_number 216
_space_group_name_Hall 'F -4 2 3'
_cell_length_a 8.246
_cell_length_b 8.246
_cell_length_c 8.246
_cell_angle_alpha 90.00
_cell_angle_beta 90.00
_cell_angle_gamma 90.00
loop_
_atom_site_label
_atom_site_type_symbol
_atom_site_fract_x
_atom_site_fract_y
_atom_site_fract_z
_atom_site_occupancy
Rb1 Rb 0.000 0.000 0.000 1
Gd1 Gd 0.000 0.000 0.500 1
Sc1 Sc 0.250 0.250 0.750 1

No. 4
# RbGdSe4 PBE relaxed
# - volume (Å³ per cell) = 347.0
# - total DFT energy (no corrections) (hartree per atom) = -0.1627
data_RbGdSe4
_space_group_name_H-M_alt 'P 4/n b m'
_space_group_IT_number 125
_cell_length_a 6.313
_cell_length_b 6.313
_cell_length_c 8.708
_cell_angle_alpha 90.00
_cell_angle_beta 90.00
_cell_angle_gamma 90.00
loop_
_space_group_symop_operation_xyz
'x,y,z'
'-x,-y,-z'
'-y+1/2,x,z'
'y+1/2,-x,-z'
'-x+1/2,-y+1/2,z'
'x+1/2,y+1/2,-z'
'y,-x+1/2,z'
'-y,x+1/2,-z'
'x,-y+1/2,-z'
'-x,y+1/2,z'
'-y+1/2,-x+1/2,-z'
'y+1/2,x+1/2,z'
'-x+1/2,y,-z'
'x+1/2,-y,z'
'y,x,-z'
'-y,-x,z'
loop_
_atom_site_label
_atom_site_type_symbol
_atom_site_fract_x
_atom_site_fract_y
_atom_site_fract_z
_atom_site_occupancy
Rb1 Rb 0.250 0.250 0.000 1
Gd1 Gd 0.250 0.250 0.500 1
Se1 Se 0.114 0.614 0.301 1

No. 5
# RbSmGdSe3 PBE relaxed
# - volume (Å³ per cell) = 828.9
# - total DFT energy (no corrections) (hartree per atom) = -0.1841
data_RbSmGdSe3
_space_group_name_H-M_alt 'C m c m'
_space_group_IT_number 63
_space_group_name_Hall '-C 2c 2'
_cell_length_a 4.614
_cell_length_b 15.800
_cell_length_c 11.369
_cell_angle_alpha 90.00
_cell_angle_beta 90.00
_cell_angle_gamma 90.00
loop_
_atom_site_label
_atom_site_type_symbol
_atom_site_fract_x
_atom_site_fract_y
_atom_site_fract_z
_atom_site_occupancy
Rb1 Rb 0.000 0.239 0.250 1
Sm1 Sm 0.000 0.500 0.000 1
Gd1 Gd 0.000 0.031 0.750 1
Se1 Se 0.000 0.122 0.546 1
Se2 Se 0.000 0.435 0.750 1

No. 6
# RbGdSnSe3 PBE relaxed
# - volume (Å³ per cell) = 841.5
# - total DFT energy (no corrections) (hartree per atom) = -0.1665
data_RbGdSnSe3
_space_group_name_H-M_alt 'C m c m'
_space_group_IT_number 63
_space_group_name_Hall '-C 2c 2'
_cell_length_a 4.159
_cell_length_b 16.852
_cell_length_c 12.004
_cell_angle_alpha 90.00
_cell_angle_beta 90.00
_cell_angle_gamma 90.00
loop_
_atom_site_label
_atom_site_type_symbol
_atom_site_fract_x
_atom_site_fract_y
_atom_site_fract_z
_atom_site_occupancy
Rb1 Rb 0.000 0.191 0.250 1
Gd1 Gd 0.000 0.500 0.000 1
Sn1 Sn 0.000 0.110 0.750 1
Se1 Se 0.000 0.117 0.508 1
Se2 Se 0.000 0.500 0.250 1

No. 7
# Rb2TbGdSe4 PBE relaxed
# - volume (Å³ per cell) = 250.7
# - total DFT energy (no corrections) (hartree per atom) = -0.1795
data_Rb2TbGdSe4
_space_group_name_H-M_alt 'P -3 m 1'
_space_group_IT_number 164
_space_group_name_Hall '-P 3 2"'
_cell_length_a 4.2545
_cell_length_b 4.2545
_cell_length_c 15.9955
_cell_angle_alpha 90.00
_cell_angle_beta 90.00
_cell_angle_gamma 120.00
loop_
_atom_site_label
_atom_site_type_symbol
_atom_site_fract_x
_atom_site_fract_y
_atom_site_fract_z
_atom_site_occupancy
Rb1 Rb 0.3333 0.6667 0.2501 1
Tb1 Tb 0.0000 0.0000 0.5000 1
Gd1 Gd 0.0000 0.0000 0.0000 1
Se1 Se 0.3333 0.6667 0.5983 1
Se2 Se 0.3333 0.6667 0.9012 1

No. 8
# Rb2GdTmSe4 PBE relaxed
# - volume (Å³ per cell) = 246.3
# - total DFT energy (no corrections) (hartree per atom) = -0.1784
data_Rb2GdTmSe4
_space_group_name_H-M_alt 'P -3 m 1'
_space_group_IT_number 164
_space_group_name_Hall '-P 3 2"'
_cell_length_a 4.2208
_cell_length_b 4.2208
_cell_length_c 15.9659
_cell_angle_alpha 90.00
_cell_angle_beta 90.00
_cell_angle_gamma 120.00
loop_
_atom_site_label
_atom_site_type_symbol
_atom_site_fract_x
_atom_site_fract_y
_atom_site_fract_z
_atom_site_occupancy
Rb1 Rb 0.3333 0.6667 0.2481 1
Gd1 Gd 0.0000 0.0000 0.5000 1
Tm1 Tm 0.0000 0.0000 0.0000 1
Se1 Se 0.3333 0.6667 0.6002 1
Se2 Se 0.3333 0.6667 0.9042 1

No. 9
# Rb2GdYSe4 PBE relaxed
# - volume (Å³ per cell) = 249.9
# - total DFT energy (no corrections) (hartree per atom) = -0.1881
data_Rb2GdYSe4
_space_group_name_H-M_alt 'P -3 m 1'
_space_group_IT_number 164
_space_group_name_Hall '-P 3 2"'
_cell_length_a 4.2485
_cell_length_b 4.2485
_cell_length_c 15.9877
_cell_angle_alpha 90.00
_cell_angle_beta 90.00
_cell_angle_gamma 120.00
loop_
_atom_site_label
_atom_site_type_symbol
_atom_site_fract_x
_atom_site_fract_y
_atom_site_fract_z
_atom_site_occupancy
Rb1 Rb 0.3333 0.6667 0.2501 1
Gd1 Gd 0.0000 0.0000 0.0000 1
Y1 Y 0.0000 0.0000 0.5000 1
Se1 Se 0.3333 0.6667 0.5981 1
Se2 Se 0.3333 0.6667 0.9010 1

No. 10
# RbGdSi PBE relaxed
# - volume (Å³ per cell) = 416.9
# - total DFT energy (no corrections) (hartree per atom) = -0.1241
data_RbGdSi
_space_group_name_H-M_alt 'F -4 3 m'
_space_group_IT_number 216
_space_group_name_Hall 'F -4 2 3'
_cell_length_a 7.470
_cell_length_b 7.470
_cell_length_c 7.470
_cell_angle_alpha 90.00
_cell_angle_beta 90.00
_cell_angle_gamma 90.00
loop_
_atom_site_label
_atom_site_type_symbol
_atom_site_fract_x
_atom_site_fract_y
_atom_site_fract_z
_atom_site_occupancy
Rb1 Rb 0.000 0.000 0.000 1
Gd1 Gd 0.000 0.000 0.500 1
Si1 Si 0.250 0.250 0.750 1

No. 11
# RbGdSiTe3 PBE relaxed
# - volume (Å³ per cell) = 904.7
# - total DFT energy (no corrections) (hartree per atom) = -0.1530
data_RbGdSiTe3
_space_group_name_H-M_alt 'C m c m'
_space_group_IT_number 63
_space_group_name_Hall '-C 2c 2'
_cell_length_a 4.799
_cell_length_b 15.637
_cell_length_c 12.057
_cell_angle_alpha 90.00
_cell_angle_beta 90.00
_cell_angle_gamma 90.00
loop_
_atom_site_label
_atom_site_type_symbol
_atom_site_fract_x
_atom_site_fract_y
_atom_site_fract_z
_atom_site_occupancy
Rb1 Rb 0.000 0.249 0.250 1
Gd1 Gd 0.000 0.500 0.000 1
Si1 Si 0.000 0.033 0.750 1
Te1 Te 0.000 0.126 0.555 1
Te2 Te 0.000 0.445 0.750 1

No. 12
# RbSmGdTe3 PBE relaxed
# - volume (Å³ per cell) = 976.0
# - total DFT energy (no corrections) (hartree per atom) = -0.1663
data_RbSmGdTe3
_space_group_name_H-M_alt 'C m c m'
_space_group_IT_number 63
_space_group_name_Hall '-C 2c 2'
_cell_length_a 4.834
_cell_length_b 16.808
_cell_length_c 12.013
_cell_angle_alpha 90.00
_cell_angle_beta 90.00
_cell_angle_gamma 90.00
loop_
_atom_site_label
_atom_site_type_symbol
_atom_site_fract_x
_atom_site_fract_y
_atom_site_fract_z
_atom_site_occupancy
Rb1 Rb 0.000 0.244 0.250 1
Sm1 Sm 0.000 0.500 0.000 1
Gd1 Gd 0.000 0.033 0.750 1
Te1 Te 0.000 0.127 0.543 1
Te2 Te 0.000 0.430 0.750 1

No. 13
# RbGdSnTe3 PBE relaxed
# - volume (Å³ per cell) = 981.2
# - total DFT energy (no corrections) (hartree per atom) = -0.1494
# - energy above the lowest structure with this stoichiometry (meV/atom) = 120
data_RbGdSnTe3
_space_group_name_H-M_alt 'C m c m'
_space_group_IT_number 63
_space_group_name_Hall '-C 2c 2'
_cell_length_a 4.429
_cell_length_b 17.254
_cell_length_c 12.839
_cell_angle_alpha 90.00
_cell_angle_beta 90.00
_cell_angle_gamma 90.00
loop_
_atom_site_label
_atom_site_type_symbol
_atom_site_fract_x
_atom_site_fract_y
_atom_site_fract_z
_atom_site_occupancy
Rb1 Rb 0.000 0.209 0.250 1
Gd1 Gd 0.000 0.500 0.000 1
Sn1 Sn 0.000 0.101 0.750 1
Te1 Te 0.000 0.125 0.509 1
Te2 Te 0.000 0.485 0.750 1

No. 14
# RbGdSnTe3 PBE relaxed
# - volume (Å³ per cell) = 969.1
# - total DFT energy (no corrections) (hartree per atom) = -0.1538
# - energy above the lowest structure with this stoichiometry (meV/atom) = 0
data_RbGdSnTe3
_space_group_name_H-M_alt 'P n m a'
_space_group_IT_number 62
_space_group_name_Hall '-P 2ac 2n'
_cell_length_a 17.109
_cell_length_b 4.463
_cell_length_c 12.692
_cell_angle_alpha 90.00
_cell_angle_beta 90.00
_cell_angle_gamma 90.00
loop_
_atom_site_label
_atom_site_type_symbol
_atom_site_fract_x
_atom_site_fract_y
_atom_site_fract_z
_atom_site_occupancy
Rb1 Rb 0.229 0.250 0.069 1
Gd1 Gd 0.007 0.750 0.649 1
Sn1 Sn 0.035 0.250 0.917 1
Te1 Te 0.091 0.750 0.233 1
Te2 Te 0.104 0.250 0.542 1
Te3 Te 0.133 0.750 0.830 1

No. 15
# Rb2TbGdTe4 PBE relaxed
# - volume (Å³ per cell) = 305.5
# - total DFT energy (no corrections) (hartree per atom) = -0.1604
data_Rb2TbGdTe4
_space_group_name_H-M_alt 'P -3 m 1'
_space_group_IT_number 164
_space_group_name_Hall '-P 3 2"'
_cell_length_a 4.5386
_cell_length_b 4.5386
_cell_length_c 17.1281
_cell_angle_alpha 90.00
_cell_angle_beta 90.00
_cell_angle_gamma 120.00
loop_
_atom_site_label
_atom_site_type_symbol
_atom_site_fract_x
_atom_site_fract_y
_atom_site_fract_z
_atom_site_occupancy
Rb1 Rb 0.3333 0.6667 0.2502 1
Tb1 Tb 0.0000 0.0000 0.5000 1
Gd1 Gd 0.0000 0.0000 0.0000 1
Te1 Te 0.3333 0.6667 0.6004 1
Te2 Te 0.3333 0.6667 0.8988 1

The calculation returns the following total moment values, one per record and in order: 0.011, 0.008, 3.181, 0.001, 0.167, 0.005, 0.001, 0.001, 0.003, 0.001, 0.006, 0.215, 0.002, 0.000, 0.002 μB/f.u..